1.
The following is a PBE calculation of an optimized crystal structure of LiDyAg2Cl6, from Alexandria.

The structure in POSCAR format:
```
LiDyAg2Cl6
1.0
3.394 1.959 6.117
-3.394 1.959 6.117
0.000 -3.919 6.117
Li Dy Ag Cl
1 1 2 6
Cartesian
0.000 0.000 0.000
0.000 0.000 9.129
0.000 0.000 5.425
0.000 0.000 14.570
-2.110 0.173 7.500
-1.300 -1.794 10.581
0.905 -1.914 7.500
-0.903 2.023 10.581
1.205 1.741 7.500
2.203 -0.229 10.581
```

Formation energy from raw total energies = -1.44 eV/atom
SG = No. 146

***

2.
The following is a PBE calculation of an optimized crystal structure of Tl3HgS, from Alexandria.

The structure in POSCAR format:
```
Tl3HgS
1.0
6.144 -3.054 0.000
6.144 3.054 0.000
-3.754 0.000 8.409
Tl Hg S
6 2 2
Cartesian
-0.208 0.000 3.754
0.941 0.000 7.443
3.419 0.000 2.329
5.114 0.000 6.080
7.593 0.000 0.965
8.742 0.000 4.655
-2.338 0.000 7.710
10.871 0.000 0.698
2.427 0.000 5.082
6.107 0.000 3.327
```

Relative energy among the computed polymorphs = 12.3 meV/atom
Formation energy from raw total energies = -0.13 eV/atom
SG = No. 12

***

3.
The following is a PBE calculation of an optimized crystal structure of NaSnHg2Pb, from Alexandria.

The structure in POSCAR format:
```
NaSnHg2Pb
1.0
1.699 -8.617 0.000
1.699 8.617 0.000
0.000 0.000 10.318
Na Sn Hg Pb
2 2 4 2
Cartesian
1.699 4.422 7.738
1.699 -4.422 2.579
0.000 0.000 0.000
0.000 0.000 5.159
1.699 5.656 0.374
1.699 5.656 4.785
1.699 -5.656 5.533
1.699 -5.656 9.944
1.699 1.135 2.579
1.699 -1.135 7.738
```

DFT formation energy = -0.0256 eV per atom
Relative energy among the computed polymorphs = 0.0 meV/atom
SG = No. 63

***

4.
The following is a PBE calculation of an optimized crystal structure of SrAlZn4, from Alexandria.

The structure in POSCAR format:
```
SrAlZn4
1.0
0.000 3.905 3.905
3.905 0.000 3.905
3.905 3.905 0.000
Sr Al Zn
1 1 4
Cartesian
0.000 0.000 0.000
1.952 1.952 1.952
4.876 2.933 2.933
2.933 4.876 2.933
2.933 2.933 4.876
4.876 4.876 4.876
```

DFT formation energy = -0.0417 eV per atom
SG = No. 216

***

no.,magnetization (μB per cell)
1,0.00
2,0.00
3,0.00
4,0.00